## K2TlCoO4 (GGA+U)

Data for a geometry-optimized K2TlCoO4 structure.

DFT total energy: -292.9 eV/cell

```
data_K2TlCoO4
_space_group_name_H-M_alt 'F d d d'
_space_group_IT_number 70
_cell_length_a 5.685
_cell_length_b 12.396
_cell_length_c 20.523
_cell_angle_alpha 90.00
_cell_angle_beta 90.00
_cell_angle_gamma 90.00
loop_
_space_group_symop_operation_xyz
'x,y,z'
'-x,-y,-z'
'-x+1/4,-y+1/4,z'
'x+1/4,y+1/4,-z'
'x,-y+1/4,-z+1/4'
'-x,y+1/4,z+1/4'
'-x+1/4,y,-z+1/4'
'x+1/4,-y,z+1/4'
'x,y+1/2,z+1/2'
'-x,-y+1/2,-z+1/2'
'-x+1/4,-y+3/4,z+1/2'
'x+1/4,y+3/4,-z+1/2'
'x,-y+3/4,-z+3/4'
'-x,y+3/4,z+3/4'
'-x+1/4,y+1/2,-z+3/4'
'x+1/4,-y+1/2,z+3/4'
'x+1/2,y,z+1/2'
'-x+1/2,-y,-z+1/2'
'-x+3/4,-y+1/4,z+1/2'
'x+3/4,y+1/4,-z+1/2'
'x+1/2,-y+1/4,-z+3/4'
'-x+1/2,y+1/4,z+3/4'
'-x+3/4,y,-z+3/4'
'x+3/4,-y,z+3/4'
'x+1/2,y+1/2,z'
'-x+1/2,-y+1/2,-z'
'-x+3/4,-y+3/4,z'
'x+3/4,y+3/4,-z'
'x+1/2,-y+3/4,-z+1/4'
'-x+1/2,y+3/4,z+1/4'
'-x+3/4,y+1/2,-z+1/4'
'x+3/4,-y+1/2,z+1/4'
loop_
_atom_site_label
_atom_site_type_symbol
_atom_site_fract_x
_atom_site_fract_y
_atom_site_fract_z
K1 K 0.125 0.125 0.315
Tl1 Tl 0.125 0.125 0.125
Co1 Co 0.125 0.125 0.625
O1 O 0.087 0.278 0.835
```